Density functional theory data (PBE+U) for crystalline VBrF2 at its relaxed geometry.

Output
E above lowest polymorph in eV per atom: 0.000
Density of states at the Fermi level in states/eV/cell: 7.970

Unit cell a=3.2701 b=3.2701 c=27.3064 alpha=90.00 beta=90.00 gamma=120.00
Space group R-3m (No. 166, hexagonal axes)
Unique sites:
1 V 0.0000 0.0000 0.0000 (multiplicity 3)
2 Br 0.0000 0.0000 0.5000 (multiplicity 3)
3 F 0.0000 0.0000 0.3678 (multiplicity 6)